## LuZrNiGe (GGA-PBE)

Data for a relaxed LuZrNiGe crystal.

CIF file:
```
data_LuZrNiGe
_space_group_name_H-M_alt 'P 1'
_space_group_IT_number 1
_cell_length_a 4.724
_cell_length_b 4.724
_cell_length_c 4.724
_cell_angle_alpha 60.00
_cell_angle_beta 60.00
_cell_angle_gamma 60.00
loop_
_space_group_symop_operation_xyz
'x,y,z'
loop_
_atom_site_label
_atom_site_type_symbol
_atom_site_fract_x
_atom_site_fract_y
_atom_site_fract_z
Ge1 Ge 0.000 0.000 0.000
Lu1 Lu 0.250 0.250 0.250
Ni1 Ni 0.750 0.750 0.750
Zr1 Zr 0.500 0.500 0.500
```

Computed properties:
Uncorrected energy (eV per atom): -5.69